Here is LiNp2ScSe5 after structural relaxation from Alexandria via LeMat-Bulk. Energies are from PBE.

Cell and atoms, written as POSCAR:
```
LiNp2ScSe5
1.0
4.000 0.000 0.000
-2.000 8.452 0.000
0.000 0.000 12.091
Se Li Np Sc
10 2 4 2
direct
0.362 0.723 0.999
0.282 0.564 0.664
0.947 0.894 0.571
0.312 0.624 0.355
0.053 0.106 0.071
0.495 0.990 0.779
0.718 0.436 0.164
0.505 0.010 0.279
0.638 0.277 0.499
0.688 0.376 0.855
0.450 0.899 0.462
0.550 0.101 0.962
0.132 0.264 0.301
0.104 0.208 0.682
0.868 0.736 0.801
0.896 0.792 0.182
0.799 0.599 0.510
0.201 0.401 0.010
```

## Properties
Total moment in μB/f.u.: 0.0
Volume in Å³/f.u.: 204.4
E_form (uncorrected) in eV/atom: -1.27
Symmetry: Cmc2_1

Here is NbBiSe2 after structural relaxation from Alexandria via LeMat-Bulk. Energies are from PBE.

Cell and atoms, written as POSCAR:
```
NbBiSe2
1.0
-3.379 0.366 0.048
-0.541 -4.754 -1.884
1.395 -4.252 10.328
Bi Se Nb
2 4 2
direct
0.042 0.250 0.084
0.958 0.750 0.916
0.627 0.750 0.253
0.193 0.250 0.386
0.373 0.250 0.747
0.807 0.750 0.614
0.215 0.750 0.430
0.785 0.250 0.570
```

## Properties
Total moment in μB/f.u.: 0.0
Volume in Å³/f.u.: 97.3
E_form (uncorrected) in eV/atom: -0.45
Symmetry: Cmcm

What is the total moment in the second record?
0.0 μB/f.u.